No. 1
DFT (PBE) results for a geometry-optimized MgTlF3 structure.

## Properties
ρ: 4.78 g/cm3
spin magnetization: 0.00 Bohr magnetons per cell
uncorrected energy: -19.47 eV/f.u.

a = 7.8489 Å, b = 7.8489 Å, c = 5.6853 Å
α = 90.00°, β = 90.00°, γ = 145.46°
Closest atoms and distances in Å follow each position.
Fractional coordinates of all 10 atoms:
F (0.9322, 0.5824, 0.7500)  1 Mg 1.82
F (0.0678, 0.4176, 0.2500)  1 Mg 1.82
F (0.4176, 0.0678, 0.7500)  1 Mg 1.82
F (0.0000, 0.0000, 0.0000)  2 F 2.84, 2 Tl 2.95, 4 Mg 3.00
F (0.0000, 0.0000, 0.5000)  2 F 2.84, 2 Tl 2.95, 4 Mg 3.00
F (0.5824, 0.9322, 0.2500)  1 Mg 1.82
Tl (0.8274, 0.1726, 0.7500)  2 F 2.58
Tl (0.1726, 0.8274, 0.2500)  2 F 2.58
Mg (0.5833, 0.4167, 0.7500)  2 F 1.82
Mg (0.4167, 0.5833, 0.2500)  2 F 1.82

---

No. 2
DFT (PBE) results for a geometry-optimized BiTePO2 structure.

## Properties
ρ: 6.60 g/cm3
spin magnetization: 0.86 Bohr magnetons per cell
ΔE to the lowest computed polymorph: 0.244 eV per atom

a = 4.1825 Å, b = 4.1825 Å, c = 5.7481 Å
α = 90.00°, β = 90.00°, γ = 90.00°
Closest atoms and distances in Å follow each position.
Fractional coordinates of all 5 atoms:
O (0.5000, 0.0000, 0.0000)  2 Bi 2.09
O (0.0000, 0.5000, 0.0000)  2 Bi 2.09
P (0.0000, 0.0000, 0.5000)  2 Bi 2.87, 4 Te 2.96
Bi (0.0000, 0.0000, 0.0000)  4 O 2.09
Te (0.5000, 0.5000, 0.5000)  4 P 2.96

---

No. 3
DFT (PBE) results for a geometry-optimized Y2Bi2Pd7Au structure.

## Properties
ρ: 10.24 g/cm3
spin magnetization: 0.00 Bohr magnetons per cell
formation energy: -368 meV/atom

a = 3.9026 Å, b = 3.9026 Å, c = 16.7382 Å
α = 81.53°, β = 81.53°, γ = 89.57°
Closest atoms and distances in Å follow each position.
Fractional coordinates of all 12 atoms:
Bi (0.2321, 0.2321, 0.6154)  5 Pd 2.81-3.02
Bi (0.7679, 0.7679, 0.3846)  5 Pd 2.81-3.02
Pd (0.0809, 0.5811, 0.8707)  6 Pd 2.75-2.88, 2 Y 2.81, 2 Au 2.88
Pd (0.5000, 0.5000, 0.0000)  4 Au 2.75-2.77, 8 Pd 2.88
Pd (0.9191, 0.4189, 0.1293)  6 Pd 2.75-2.88, 2 Y 2.81, 2 Au 2.88
Pd (0.7571, 0.7571, 0.5534)  5 Bi 2.81-3.02, 1 Pd 2.90
Pd (0.5811, 0.0809, 0.8707)  6 Pd 2.75-2.88, 2 Y 2.81, 2 Au 2.88
Pd (0.4189, 0.9191, 0.1293)  6 Pd 2.75-2.88, 2 Y 2.81, 2 Au 2.88
Pd (0.2429, 0.2429, 0.4466)  5 Bi 2.81-3.02, 1 Pd 2.90
Y (0.3427, 0.3427, 0.2526)  4 Pd 2.81
Y (0.6573, 0.6573, 0.7474)  4 Pd 2.81
Au (0.0000, 0.0000, 0.0000)  12 Pd 2.75-2.88

---

No. 4
DFT (PBE) results for a geometry-optimized Zn2GaHg2 structure.

## Properties
ρ: 8.82 g/cm3
spin magnetization: 0.00 Bohr magnetons per cell
ΔE to the lowest computed polymorph: 0.078 eV per atom
formation energy: 192 meV/atom

a = 4.3342 Å, b = 4.3342 Å, c = 6.7619 Å
α = 71.31°, β = 71.31°, γ = 90.00°
Closest atoms and distances in Å follow each position.
Fractional coordinates of all 5 atoms:
Ga (0.0000, 0.0000, 0.0000)  8 Zn 3.29
Hg (0.2500, 0.7500, 0.5000)  4 Zn 2.82, 4 Hg 3.06
Hg (0.7500, 0.2500, 0.5000)  4 Zn 2.82, 4 Hg 3.06
Zn (0.3998, 0.3998, 0.2004)  1 Zn 2.42
Zn (0.6002, 0.6002, 0.7996)  1 Zn 2.42

---

No. 5
DFT (PBE) results for a geometry-optimized CrIrRh structure.

## Properties
ρ: 13.97 g/cm3
spin magnetization: 0.65 Bohr magnetons per cell
ΔE to the lowest computed polymorph: 0.116 eV per atom
formation energy: -30 meV/atom

a = 4.9483 Å, b = 6.7453 Å, c = 6.5839 Å
α = 56.79°, β = 65.83°, γ = 85.05°
Closest atoms and distances in Å follow each position.
Fractional coordinates of all 12 atoms:
Ir (0.8807, 0.9751, 0.8721)  4 Cr 2.41-2.68, 1 Ir 2.58, 3 Rh 2.60-2.68
Ir (0.1782, 0.4231, 0.6457)  4 Cr 2.52-2.71, 3 Rh 2.70-2.80, 2 Ir 2.72-2.75
Ir (0.1193, 0.0249, 0.1279)  4 Cr 2.41-2.68, 1 Ir 2.58, 3 Rh 2.60-2.68
Ir (0.8218, 0.5769, 0.3543)  4 Cr 2.52-2.71, 3 Rh 2.70-2.80, 2 Ir 2.72-2.75
Cr (0.5103, 0.0973, 0.6579)  3 Rh 2.53-2.70, 4 Ir 2.57-2.82, 2 Cr 2.60-2.72
Cr (0.5752, 0.3180, 0.8622)  4 Ir 2.41-2.69, 2 Rh 2.45-2.62, 1 Cr 2.60
Cr (0.4248, 0.6820, 0.1378)  4 Ir 2.41-2.69, 2 Rh 2.45-2.62, 1 Cr 2.60
Cr (0.4897, 0.9027, 0.3421)  3 Rh 2.53-2.70, 4 Ir 2.57-2.82, 2 Cr 2.60-2.72
Rh (0.8291, 0.7531, 0.6509)  4 Ir 2.60-2.80, 3 Rh 2.60-2.81, 4 Cr 2.62-2.87
Rh (0.2444, 0.6637, 0.8514)  4 Cr 2.45-2.72, 3 Rh 2.60-2.73, 2 Ir 2.67-2.73
Rh (0.1709, 0.2469, 0.3491)  4 Ir 2.60-2.80, 3 Rh 2.60-2.81, 4 Cr 2.62-2.87
Rh (0.7556, 0.3363, 0.1486)  4 Cr 2.45-2.72, 3 Rh 2.60-2.73, 2 Ir 2.67-2.73

---

No. 6
DFT (PBE) results for a geometry-optimized MgMnCo2Sn structure.

## Properties
ρ: 2.49 g/cm3
spin magnetization: 9.12 Bohr magnetons per cell
ΔE to the lowest computed polymorph: 0.838 eV per atom
formation energy: 1962 meV/atom

a = 5.7805 Å, b = 6.3037 Å, c = 5.7805 Å
α = 90.00°, β = 90.00°, γ = 90.00°
Closest atoms and distances in Å follow each position.
Fractional coordinates of all 5 atoms:
Mg (0.0000, 0.5000, 0.0000)  2 Sn 3.15
Co (0.5000, 0.0000, 0.0000)  2 Sn 2.89
Co (0.0000, 0.0000, 0.5000)  2 Sn 2.89
Mn (0.5000, 0.5000, 0.5000)  4 Mg 4.09, 8 Co 4.28
Sn (0.0000, 0.0000, 0.0000)  4 Co 2.89, 2 Mg 3.15

---

No. 7
DFT (PBE) results for a geometry-optimized SrAs2Rh3 structure.

## Properties
ρ: 8.42 g/cm3
spin magnetization: 0.00 Bohr magnetons per cell
formation energy: -710 meV/atom

a = 4.0531 Å, b = 8.5299 Å, c = 10.0883 Å
α = 107.00°, β = 90.00°, γ = 103.74°
Closest atoms and distances in Å follow each position.
Fractional coordinates of all 18 atoms:
Rh (0.3195, 0.6390, 0.0355)  4 As 2.51-2.58
Rh (0.5000, 0.0000, 0.5000)  4 As 2.47-2.68
Rh (0.3723, 0.7446, 0.7889)  3 As 2.40-2.57
Rh (0.2178, 0.4357, 0.3968)  4 As 2.41-2.61
Rh (0.6805, 0.3610, 0.9645)  4 As 2.51-2.58
Rh (0.7822, 0.5643, 0.6032)  4 As 2.41-2.61
Rh (0.0426, 0.0852, 0.3290)  4 As 2.48-2.65
Rh (0.6277, 0.2554, 0.2111)  3 As 2.40-2.57
Rh (0.9574, 0.9148, 0.6710)  4 As 2.48-2.65
Sr (0.8415, 0.6829, 0.3003)  6 As 3.12-3.23, 9 Rh 3.23-3.48
Sr (0.1585, 0.3171, 0.6997)  6 As 3.12-3.23, 9 Rh 3.23-3.48
Sr (0.0000, 0.0000, 0.0000)  6 As 3.10-3.22, 6 Rh 3.18-3.23
As (0.3617, 0.7235, 0.5461)  7 Rh 2.40-2.65
As (0.6383, 0.2765, 0.4539)  7 Rh 2.40-2.65
As (0.5368, 0.0736, 0.7775)  5 Rh 2.48-2.76
As (0.1952, 0.3904, 0.1291)  6 Rh 2.51-2.61
As (0.8048, 0.6096, 0.8709)  6 Rh 2.51-2.61
As (0.4632, 0.9264, 0.2225)  5 Rh 2.48-2.76

---

No. 8
DFT (PBE) results for a geometry-optimized Cu2TcAu structure.

## Properties
ρ: 10.93 g/cm3
spin magnetization: 4.65 Bohr magnetons per cell
ΔE to the lowest computed polymorph: 0.593 eV per atom
formation energy: 757 meV/atom

a = 6.9318 Å, b = 6.9318 Å, c = 5.5812 Å
α = 51.61°, β = 51.61°, γ = 90.00°
Closest atoms and distances in Å follow each position.
Fractional coordinates of all 8 atoms:
Cu (0.3750, 0.3793, 0.7500)  2 Tc 2.52, 2 Au 2.56, 2 Cu 2.67
Cu (0.8750, 0.8707, 0.7500)  2 Tc 2.52, 2 Au 2.56, 2 Cu 2.67
Cu (0.1293, 0.6250, 0.2500)  2 Tc 2.52, 2 Au 2.56, 2 Cu 2.67
Cu (0.6207, 0.1250, 0.2500)  2 Tc 2.52, 2 Au 2.56, 2 Cu 2.67
Tc (0.2500, 0.7500, 0.5000)  4 Cu 2.52, 2 Au 2.67
Tc (0.5000, 0.5000, 0.0000)  4 Cu 2.52, 2 Au 2.67
Au (0.7500, 0.2500, 0.5000)  4 Cu 2.56, 2 Tc 2.67
Au (0.0000, 0.0000, 0.0000)  4 Cu 2.56, 2 Tc 2.67

---

No. 9
DFT (PBE) results for a geometry-optimized RbAg2Sb2Pb2 structure.

## Properties
ρ: 6.97 g/cm3
spin magnetization: 0.00 Bohr magnetons per cell
uncorrected energy: -22.98 eV/f.u.

a = 4.7761 Å, b = 4.7761 Å, c = 11.8891 Å
α = 78.41°, β = 78.41°, γ = 60.00°
Closest atoms and distances in Å follow each position.
Fractional coordinates of all 7 atoms:
Pb (0.8686, 0.8686, 0.3941)  3 Ag 3.12, 3 Sb 3.36
Pb (0.1314, 0.1314, 0.6059)  3 Ag 3.12, 3 Sb 3.36
Ag (0.4224, 0.4224, 0.7327)  3 Sb 2.79, 3 Pb 3.12
Ag (0.5776, 0.5776, 0.2673)  3 Sb 2.79, 3 Pb 3.12
Sb (0.2572, 0.2572, 0.2285)  3 Ag 2.79
Sb (0.7428, 0.7428, 0.7715)  3 Ag 2.79
Rb (0.0000, 0.0000, 0.0000)  6 Sb 3.82, 6 Ag 4.14

---

No. 10
DFT (PBE) results for a geometry-optimized PmAl3Rh structure.

## Properties
ρ: 5.77 g/cm3
spin magnetization: 0.00 Bohr magnetons per cell
ΔE to the lowest computed polymorph: 0.152 eV per atom
formation energy: -583 meV/atom

a = 5.4596 Å, b = 8.3975 Å, c = 8.3897 Å
α = 100.05°, β = 90.00°, γ = 90.00°
Closest atoms and distances in Å follow each position.
Fractional coordinates of all 20 atoms:
Al (0.1105, 0.8570, 0.7966)  3 Rh 2.53-2.70, 3 Al 2.66-2.80
Al (0.1238, 0.5525, 0.6434)  4 Al 2.66-2.77, 1 Rh 2.88
Al (0.1605, 0.4413, 0.0982)  3 Rh 2.52-2.80, 3 Al 2.66-2.80
Al (0.3395, 0.9413, 0.0982)  3 Rh 2.52-2.80, 3 Al 2.66-2.80
Al (0.6105, 0.6430, 0.2034)  3 Rh 2.53-2.70, 3 Al 2.66-2.80
Al (0.3895, 0.3570, 0.7966)  3 Rh 2.53-2.70, 3 Al 2.66-2.80
Al (0.8895, 0.1430, 0.2034)  3 Rh 2.53-2.70, 3 Al 2.66-2.80
Al (0.3762, 0.0525, 0.6434)  4 Al 2.66-2.77, 1 Rh 2.88
Al (0.8762, 0.4475, 0.3566)  4 Al 2.66-2.77, 1 Rh 2.88
Al (0.8395, 0.5587, 0.9018)  3 Rh 2.52-2.80, 3 Al 2.66-2.80
Al (0.6238, 0.9475, 0.3566)  4 Al 2.66-2.77, 1 Rh 2.88
Al (0.6605, 0.0587, 0.9018)  3 Rh 2.52-2.80, 3 Al 2.66-2.80
Rh (0.6507, 0.3489, 0.0447)  6 Al 2.52-2.80
Rh (0.8493, 0.8489, 0.0447)  6 Al 2.52-2.80
Rh (0.3493, 0.6511, 0.9553)  6 Al 2.52-2.80
Rh (0.1507, 0.1511, 0.9553)  6 Al 2.52-2.80
Pm (0.3804, 0.2865, 0.3715)  9 Al 3.04-3.37, 1 Rh 3.24
Pm (0.6196, 0.7135, 0.6285)  9 Al 3.04-3.37, 1 Rh 3.24
Pm (0.1196, 0.7865, 0.3715)  9 Al 3.04-3.37, 1 Rh 3.24
Pm (0.8804, 0.2135, 0.6285)  9 Al 3.04-3.37, 1 Rh 3.24

---

No. 11
DFT (PBE) results for a geometry-optimized CsZrMnS3 structure.

## Properties
ρ: 3.98 g/cm3
spin magnetization: 7.92 Bohr magnetons per cell
uncorrected energy: -38.36 eV/f.u.

a = 3.8584 Å, b = 9.1782 Å, c = 9.7837 Å
α = 115.36°, β = 90.00°, γ = 90.00°
Closest atoms and distances in Å follow each position.
Fractional coordinates of all 12 atoms:
Zr (0.2500, 0.6715, 0.1475)  6 S 2.62-2.64
Zr (0.7500, 0.3285, 0.8525)  6 S 2.62-2.64
S (0.2500, 0.1389, 0.8678)  1 Mn 2.31
S (0.7500, 0.2006, 0.5560)  3 Mn 2.39-2.43, 1 Zr 2.62
S (0.2500, 0.5237, 0.8515)  3 Zr 2.62-2.64
S (0.7500, 0.4763, 0.1485)  3 Zr 2.62-2.64
S (0.2500, 0.7994, 0.4440)  3 Mn 2.39-2.43, 1 Zr 2.62
S (0.7500, 0.8611, 0.1322)  1 Mn 2.31
Cs (0.2500, 0.2250, 0.2526)  7 S 3.48-3.63, 2 Cs 3.86
Cs (0.7500, 0.7750, 0.7474)  7 S 3.48-3.63, 2 Cs 3.86
Mn (0.7500, 0.9152, 0.3858)  4 S 2.31-2.43
Mn (0.2500, 0.0848, 0.6142)  4 S 2.31-2.43

---

No. 12
DFT (PBE) results for a geometry-optimized Co2Tc structure.

## Properties
ρ: 9.55 g/cm3
spin magnetization: 3.55 Bohr magnetons per cell
ΔE to the lowest computed polymorph: 0.291 eV per atom
formation energy: 284 meV/atom

a = 11.4139 Å, b = 11.4139 Å, c = 11.4139 Å
α = 167.01°, β = 167.01°, γ = 18.41°
Closest atoms and distances in Å follow each position.
Fractional coordinates of all 6 atoms:
Co (0.1695, 0.6695, 0.5000)  6 Co 2.38-2.58, 4 Tc 2.57
Co (0.3305, 0.8305, 0.5000)  6 Co 2.38-2.58, 4 Tc 2.57
Co (0.5805, 0.5805, 0.0000)  6 Co 2.38-2.58, 4 Tc 2.57
Co (0.4195, 0.4195, 0.0000)  6 Co 2.38-2.58, 4 Tc 2.57
Tc (0.0000, 0.0000, 0.0000)  8 Co 2.57, 4 Tc 2.58
Tc (0.7500, 0.2500, 0.5000)  8 Co 2.57, 4 Tc 2.58

---

Copy entry 7 word for word.
DFT (PBE) results for a geometry-optimized SrAs2Rh3 structure.

## Properties
ρ: 8.42 g/cm3
spin magnetization: 0.00 Bohr magnetons per cell
formation energy: -710 meV/atom

a = 4.0531 Å, b = 8.5299 Å, c = 10.0883 Å
α = 107.00°, β = 90.00°, γ = 103.74°
Closest atoms and distances in Å follow each position.
Fractional coordinates of all 18 atoms:
Rh (0.3195, 0.6390, 0.0355)  4 As 2.51-2.58
Rh (0.5000, 0.0000, 0.5000)  4 As 2.47-2.68
Rh (0.3723, 0.7446, 0.7889)  3 As 2.40-2.57
Rh (0.2178, 0.4357, 0.3968)  4 As 2.41-2.61
Rh (0.6805, 0.3610, 0.9645)  4 As 2.51-2.58
Rh (0.7822, 0.5643, 0.6032)  4 As 2.41-2.61
Rh (0.0426, 0.0852, 0.3290)  4 As 2.48-2.65
Rh (0.6277, 0.2554, 0.2111)  3 As 2.40-2.57
Rh (0.9574, 0.9148, 0.6710)  4 As 2.48-2.65
Sr (0.8415, 0.6829, 0.3003)  6 As 3.12-3.23, 9 Rh 3.23-3.48
Sr (0.1585, 0.3171, 0.6997)  6 As 3.12-3.23, 9 Rh 3.23-3.48
Sr (0.0000, 0.0000, 0.0000)  6 As 3.10-3.22, 6 Rh 3.18-3.23
As (0.3617, 0.7235, 0.5461)  7 Rh 2.40-2.65
As (0.6383, 0.2765, 0.4539)  7 Rh 2.40-2.65
As (0.5368, 0.0736, 0.7775)  5 Rh 2.48-2.76
As (0.1952, 0.3904, 0.1291)  6 Rh 2.51-2.61
As (0.8048, 0.6096, 0.8709)  6 Rh 2.51-2.61
As (0.4632, 0.9264, 0.2225)  5 Rh 2.48-2.76

---

Question: What is the spin magnetization in the third record?
Answer: 0.00 Bohr magnetons per cell